# 1
GGA-PBE BaCaPO2, optimized geometry; M_tot = 2.80 μB per formula unit; E above lowest polymorph = 0 meV per atom; density = 3.5 g/cm³; E_tot = -4.88 eV per atom; energy relative to the elements, uncorrected = -1.028 eV per atom; crystal system = tetragonal; symmetry = P4/mmm, No. 123
1.0
4.593 0.000 0.000
0.000 4.593 0.000
0.000 0.000 5.412
Ba Ca P O
1 1 1 2
Cartesian
0.000 0.000 0.000
2.297 2.297 2.706
2.297 2.297 0.000
0.000 2.297 2.706
2.297 0.000 2.706

# 2
GGA-PBE Pm8TlGe5, optimized geometry; M_tot = 0.00 μB per formula unit; density = 7.4 g/cm³; E_tot = -5.26 eV per atom; crystal system = tetragonal; symmetry = I-4, No. 82; formation enthalpy at 0 K = -726 meV/atom
1.0
-4.591 4.591 4.585
4.591 -4.591 4.585
4.591 4.591 -4.585
Pm Tl Ge
8 1 5
Cartesian
3.981 3.003 -2.841
3.960 1.727 0.594
0.611 1.588 1.744
2.864 -0.631 3.991
1.727 5.222 -0.594
1.588 -0.611 7.427
3.003 5.202 2.841
0.631 2.864 5.179
0.000 4.591 2.293
1.166 2.307 -1.120
6.876 1.166 1.120
0.000 0.000 4.585
3.425 2.284 3.465
-2.284 3.425 5.705

# 3
GGA-PBE Rb2NpSnS5, optimized geometry; M_tot = 2.87 μB per formula unit; density = 4.0 g/cm³; E_tot = -5.37 eV per atom; energy relative to the elements, uncorrected = -0.978 eV per atom; crystal system = orthorhombic; symmetry = Cmc2_1, No. 36
1.0
2.064 -9.575 0.000
2.064 9.575 0.000
0.000 0.000 14.542
Rb Np Sn S
4 2 2 10
Cartesian
2.064 7.440 7.271
2.064 6.946 2.202
2.064 -6.946 9.473
2.064 -7.440 0.000
2.064 5.581 12.530
2.064 -5.581 5.259
2.064 1.151 3.714
2.064 -1.151 10.985
2.064 8.518 12.487
2.064 3.957 6.924
2.064 3.602 3.376
2.064 3.148 12.118
2.064 0.000 1.691
2.064 0.000 8.962
2.064 -3.148 4.847
2.064 -3.602 10.647
2.064 -3.957 14.195
2.064 -8.518 5.216

What did the third record say?
GGA-PBE Rb2NpSnS5, optimized geometry; M_tot = 2.87 μB per formula unit; density = 4.0 g/cm³; E_tot = -5.37 eV per atom; energy relative to the elements, uncorrected = -0.978 eV per atom; crystal system = orthorhombic; symmetry = Cmc2_1, No. 36
1.0
2.064 -9.575 0.000
2.064 9.575 0.000
0.000 0.000 14.542
Rb Np Sn S
4 2 2 10
Cartesian
2.064 7.440 7.271
2.064 6.946 2.202
2.064 -6.946 9.473
2.064 -7.440 0.000
2.064 5.581 12.530
2.064 -5.581 5.259
2.064 1.151 3.714
2.064 -1.151 10.985
2.064 8.518 12.487
2.064 3.957 6.924
2.064 3.602 3.376
2.064 3.148 12.118
2.064 0.000 1.691
2.064 0.000 8.962
2.064 -3.148 4.847
2.064 -3.602 10.647
2.064 -3.957 14.195
2.064 -8.518 5.216

Which value of E_tot does entry 1 give? -4.88 eV per atom

The lowest M_tot belongs to which entry? Pm8TlGe5